# 1
Below is a geometry-optimized HfFePd3 structure, with properties calculated at the GGA-PBEsol level.

Geometry as CIF:
```
data_HfFePd3
_chemical_formula_sum 'Hf1 Fe1 Pd3'
_space_group_name_H-M_alt 'P m -3 m'
_space_group_IT_number 221
_space_group_name_Hall '-P 4 2 3'
_cell_length_a 4.479
_cell_length_b 4.479
_cell_length_c 4.479
_cell_angle_alpha 90.00
_cell_angle_beta 90.00
_cell_angle_gamma 90.00
loop_
_atom_site_label
_atom_site_fract_x
_atom_site_fract_y
_atom_site_fract_z
Hf1 0.000 0.000 0.000
Fe1 0.500 0.500 0.500
Pd1 0.000 0.500 0.500
```

Results
The crystal system is cubic. As for the formation energy: 0.54 eV/atom.


# 2
Below is a geometry-optimized BaTl3 structure, with properties calculated at the GGA-PBEsol level.

Geometry as CIF:
```
data_BaTl3
_chemical_formula_sum 'Ba1 Tl3'
_space_group_name_H-M_alt 'P 4/m m m'
_space_group_IT_number 123
_space_group_name_Hall '-P 4 2'
_cell_length_a 4.019
_cell_length_b 4.019
_cell_length_c 7.771
_cell_angle_alpha 90.00
_cell_angle_beta 90.00
_cell_angle_gamma 90.00
loop_
_atom_site_label
_atom_site_fract_x
_atom_site_fract_y
_atom_site_fract_z
Ba1 0.000 0.000 0.000
Tl1 0.000 0.000 0.500
Tl2 0.500 0.500 0.291
```

Results
The crystal system is tetragonal. As for the formation energy: -0.26 eV/atom.


# 3
Below is a geometry-optimized ZrReIr3 structure, with properties calculated at the GGA-PBEsol level.

Geometry as CIF:
```
data_ZrReIr3
_chemical_formula_sum 'Zr1 Re1 Ir3'
_space_group_name_H-M_alt 'P m -3 m'
_space_group_IT_number 221
_space_group_name_Hall '-P 4 2 3'
_cell_length_a 4.683
_cell_length_b 4.683
_cell_length_c 4.683
_cell_angle_alpha 90.00
_cell_angle_beta 90.00
_cell_angle_gamma 90.00
loop_
_atom_site_label
_atom_site_fract_x
_atom_site_fract_y
_atom_site_fract_z
Zr1 0.000 0.000 0.000
Re1 0.500 0.500 0.500
Ir1 0.000 0.000 0.500
```

Results
The crystal system is cubic. As for the formation energy: 2.33 eV/atom.


# 4
Below is a geometry-optimized Cs3H5Pt structure, with properties calculated at the GGA-PBEsol level.

Geometry as CIF:
```
data_Cs3H5Pt
_chemical_formula_sum 'Cs6 H10 Pt2'
_space_group_name_H-M_alt 'P 4/m b m'
_space_group_IT_number 127
_space_group_name_Hall '-P 4 2ab'
_cell_length_a 7.902
_cell_length_b 7.902
_cell_length_c 6.088
_cell_angle_alpha 90.00
_cell_angle_beta 90.00
_cell_angle_gamma 90.00
loop_
_atom_site_label
_atom_site_fract_x
_atom_site_fract_y
_atom_site_fract_z
Cs1 0.000 0.000 0.000
Cs2 0.184 0.316 0.500
H1 0.000 0.000 0.500
H2 0.106 0.606 0.189
Pt1 0.000 0.500 0.000
```

Results
The crystal system is tetragonal. For the raw total energy, the calculation gives -0.2398 Ry per atom.


# 5
Below is a geometry-optimized KMnRe2 structure, with properties calculated at the GGA-PBEsol level.

Geometry as CIF:
```
data_KMnRe2
_chemical_formula_sum 'K4 Mn4 Re8'
_space_group_name_H-M_alt 'F m -3 m'
_space_group_IT_number 225
_space_group_name_Hall '-F 4 2 3'
_cell_length_a 6.161
_cell_length_b 6.161
_cell_length_c 6.161
_cell_angle_alpha 90.00
_cell_angle_beta 90.00
_cell_angle_gamma 90.00
loop_
_atom_site_label
_atom_site_fract_x
_atom_site_fract_y
_atom_site_fract_z
K1 0.000 0.000 0.000
Mn1 0.000 0.000 0.500
Re1 0.250 0.250 0.250
```

Results
For the energy above the most stable polymorph in this dataset, the calculation gives 1021 meV per atom. The crystal system is cubic. As for the formation energy: 1.82 eV/atom.


# 6
Below is a geometry-optimized CuBF2 structure, with properties calculated at the GGA-PBEsol level.

Geometry as CIF:
```
data_CuBF2
_chemical_formula_sum 'Cu3 B3 F6'
_space_group_name_H-M_alt 'R -3 m'
_space_group_IT_number 166
_space_group_name_Hall '-R 3 2"'
_cell_length_a 2.5632
_cell_length_b 2.5632
_cell_length_c 21.0412
_cell_angle_alpha 90.00
_cell_angle_beta 90.00
_cell_angle_gamma 120.00
loop_
_atom_site_label
_atom_site_fract_x
_atom_site_fract_y
_atom_site_fract_z
Cu1 0.0000 0.0000 0.0000
B1 0.0000 0.0000 0.5000
F1 0.0000 0.0000 0.0861
```

Results
The crystal system is trigonal. For the raw total energy, the calculation gives -0.2826 Ry per atom.


# 7
Below is a geometry-optimized Hg4C5 structure, with properties calculated at the GGA-PBEsol level.

Geometry as CIF:
```
data_Hg4C5
_chemical_formula_sum 'Hg8 C10'
_space_group_name_H-M_alt 'I 4/m m m'
_space_group_IT_number 139
_space_group_name_Hall '-I 4 2'
_cell_length_a 12.852
_cell_length_b 12.852
_cell_length_c 2.617
_cell_angle_alpha 90.00
_cell_angle_beta 90.00
_cell_angle_gamma 90.00
loop_
_atom_site_label
_atom_site_fract_x
_atom_site_fract_y
_atom_site_fract_z
Hg1 0.000 0.188 0.000
C1 0.000 0.000 0.000
C2 0.250 0.250 0.000
```

Results
The crystal system is tetragonal. As for the formation energy: 1.21 eV/atom.


# 8
Below is a geometry-optimized Na3CuBPO7 structure, with properties calculated at the GGA-PBEsol level.

Geometry as CIF:
```
data_Na3CuBPO7
_chemical_formula_sum 'Na6 Cu2 B2 P2 O14'
_space_group_name_H-M_alt 'P 1 21/m 1'
_space_group_IT_number 11
_space_group_name_Hall '-P 2yb'
_cell_length_a 4.950
_cell_length_b 7.367
_cell_length_c 8.586
_cell_angle_alpha 90.00
_cell_angle_beta 92.43
_cell_angle_gamma 90.00
loop_
_atom_site_label
_atom_site_fract_x
_atom_site_fract_y
_atom_site_fract_z
Na1 0.220 0.250 0.083
Na2 0.262 0.511 0.726
Cu1 0.212 0.750 0.344
B1 0.277 0.750 0.075
P1 0.278 0.250 0.414
O1 0.031 0.750 0.149
O2 0.129 0.250 0.569
O3 0.219 0.080 0.315
O4 0.307 0.750 0.922
O5 0.410 0.750 0.536
O6 0.477 0.750 0.195
```

Results
The crystal system is monoclinic. For the raw total energy, the calculation gives -0.4656 Ry per atom.


# 9
Below is a geometry-optimized Li17Cl5O6 structure, with properties calculated at the GGA-PBEsol level.

Geometry as CIF:
```
data_Li17Cl5O6
_chemical_formula_sum 'Li17 Cl5 O6'
_space_group_name_H-M_alt 'P 1 m 1'
_space_group_IT_number 6
_space_group_name_Hall 'P -2y'
_cell_length_a 5.471
_cell_length_b 3.772
_cell_length_c 16.388
_cell_angle_alpha 90.00
_cell_angle_beta 92.57
_cell_angle_gamma 90.00
loop_
_atom_site_label
_atom_site_fract_x
_atom_site_fract_y
_atom_site_fract_z
Li1 0.000 0.000 0.000
Li2 0.001 0.000 0.831
Li3 0.023 0.000 0.343
Li4 0.055 0.000 0.169
Li5 0.233 0.500 0.750
Li6 0.274 0.500 0.081
Li7 0.280 0.500 0.412
Li8 0.471 0.000 0.657
Li9 0.503 0.000 0.825
Li10 0.509 0.000 0.992
Li11 0.526 0.000 0.317
Li12 0.548 0.000 0.157
Li13 0.589 0.000 0.474
Li14 0.755 0.500 0.913
Li15 0.760 0.500 0.564
Li16 0.801 0.500 0.247
Li17 0.940 0.000 0.669
Cl1 0.256 0.500 0.901
Cl2 0.299 0.500 0.235
Cl3 0.735 0.500 0.748
Cl4 0.773 0.500 0.074
Cl5 0.817 0.500 0.414
O1 0.230 0.000 0.735
O2 0.275 0.000 0.074
O3 0.321 0.000 0.404
O4 0.711 0.000 0.583
O5 0.755 0.000 0.911
O6 0.797 0.000 0.244
```

Results
The crystal system is monoclinic. For the raw total energy, the calculation gives -0.3278 Ry per atom.


# 10
Below is a geometry-optimized CsYCo2Ag structure, with properties calculated at the GGA-PBEsol level.

Geometry as CIF:
```
data_CsYCo2Ag
_chemical_formula_sum 'Cs1 Y1 Co2 Ag1'
_space_group_name_H-M_alt 'P 4/m m m'
_space_group_IT_number 123
_space_group_name_Hall '-P 4 2'
_cell_length_a 4.599
_cell_length_b 4.599
_cell_length_c 5.423
_cell_angle_alpha 90.00
_cell_angle_beta 90.00
_cell_angle_gamma 90.00
loop_
_atom_site_label
_atom_site_fract_x
_atom_site_fract_y
_atom_site_fract_z
Cs1 0.000 0.000 0.000
Y1 0.000 0.000 0.500
Co1 0.000 0.500 0.000
Ag1 0.500 0.500 0.500
```

Results
The crystal system is tetragonal. As for the formation energy: 1.91 eV/atom.


# 11
Below is a geometry-optimized Ba2AlAu structure, with properties calculated at the GGA-PBEsol level.

Geometry as CIF:
```
data_Ba2AlAu
_chemical_formula_sum 'Ba4 Al2 Au2'
_space_group_name_H-M_alt 'I m m 2'
_space_group_IT_number 44
_space_group_name_Hall 'I 2 -2'
_cell_length_a 4.061
_cell_length_b 5.657
_cell_length_c 10.805
_cell_angle_alpha 90.00
_cell_angle_beta 90.00
_cell_angle_gamma 90.00
loop_
_atom_site_label
_atom_site_fract_x
_atom_site_fract_y
_atom_site_fract_z
Ba1 0.000 0.000 0.000
Ba2 0.000 0.500 0.186
Al1 0.000 0.500 0.784
Au1 0.000 0.000 0.418
```

Results
The crystal system is orthorhombic. As for the formation energy: -0.37 eV/atom.


no.,volume (Å³/atom)
1,17.97
2,31.38
3,20.54
4,21.12
5,14.62
6,9.98
7,24.02
8,12.03
9,12.07
10,22.94
11,31.03